(1)
A plane-wave DFT calculation with PBE was carried out for La6Nd3Er after structural relaxation.

The value obtained for the final energy is -189.2 eV/cell.

The structure belongs to space group Cmc2_1 (No. 36); the cell edges are 10.956, 19.626 and 6.659 Å and the angles 90.00°, 90.00° and 90.00°. The asymmetric unit holds La at (0.000, 0.031, 0.000), La at (0.000, 0.281, 0.195), La at (0.174, 0.460, 0.300), La at (0.221, 0.292, 0.489), Nd at (0.000, 0.385, 0.778), Nd at (0.175, 0.119, 0.392) and Er at (0.000, 0.188, 0.750).

=====

(2)
A plane-wave DFT calculation with PBE was carried out for Sr2MnTlCl8 after structural relaxation.

The value obtained for the final energy is -49.8 eV/cell. Its formation energy (no corrections) is -20.1 eV/f.u.

The structure belongs to space group P2/m (No. 10); the cell edges are 6.399, 8.821 and 6.779 Å and the angles 90.00°, 92.34° and 90.00°. The asymmetric unit holds Sr at (0.000, 0.237, 0.000), Mn at (0.500, 0.000, 0.500), Tl at (0.500, 0.500, 0.500), Cl at (0.210, 0.500, 0.849), Cl at (0.242, 0.000, 0.820) and Cl at (0.293, 0.185, 0.355).

=====

(3)
A plane-wave DFT calculation with PBE was carried out for ReAg2Os after structural relaxation.

The value obtained for the final energy is -25.9 eV/cell. As for the offset from the most stable computed form: 0.584 eV/atom.

The structure belongs to space group Pmmm (No. 47); the cell edges are 2.667, 4.561 and 5.275 Å and the angles 90.00°, 90.00° and 90.00°. The asymmetric unit holds Re at (0.000, 0.000, 0.000), Ag at (0.500, 0.500, 0.249) and Os at (0.000, 0.000, 0.500).

=====

(4)
A plane-wave DFT calculation with PBE was carried out for YHoInHg after structural relaxation.

The value obtained for the final energy is -64.0 eV/cell.

The structure belongs to space group F-43m (No. 216); the cell edges are 7.486, 7.486 and 7.486 Å and the angles 90.00°, 90.00° and 90.00°. The asymmetric unit holds Y at (0.000, 0.000, 0.000), Ho at (0.000, 0.000, 0.500), In at (0.250, 0.250, 0.250) and Hg at (0.250, 0.250, 0.750).

=====

(5)
A plane-wave DFT calculation with PBE was carried out for Hf2TiV after structural relaxation.

The value obtained for the final energy is -137.9 eV/cell. As for the offset from the most stable computed form: 0.522 eV/atom.

The structure belongs to space group I-42d (No. 122); the cell edges are 7.334, 7.334 and 5.760 Å and the angles 90.00°, 90.00° and 90.00°. The asymmetric unit holds Hf at (0.237, 0.250, 0.125), Ti at (0.000, 0.000, 0.500) and V at (0.000, 0.000, 0.000).

=====

(6)
A plane-wave DFT calculation with PBE was carried out for BePb3 after structural relaxation.

The value obtained for the final energy is -26.8 eV/cell. As for the offset from the most stable computed form: 0.112 eV/atom.

The structure belongs to space group Cmmm (No. 65); the cell edges are 4.199, 5.361 and 9.401 Å and the angles 90.00°, 90.00° and 90.00°. The asymmetric unit holds Be at (0.000, 0.000, 0.000), Pb at (0.000, 0.000, 0.500) and Pb at (0.000, 0.500, 0.189).

=====

(7)
A plane-wave DFT calculation with PBE was carried out for KRbBa2Zn after structural relaxation.

The value obtained for the final energy is -6.8 eV/cell. As for the offset from the most stable computed form: 0.008 eV/atom.

The structure belongs to space group P4/mmm (No. 123); the cell edges are 6.636, 6.636 and 7.191 Å and the angles 90.00°, 90.00° and 90.00°. The asymmetric unit holds K at (0.000, 0.000, 0.000), Rb at (0.500, 0.500, 0.000), Ba at (0.000, 0.500, 0.500) and Zn at (0.500, 0.500, 0.500).

=====

(8)
A plane-wave DFT calculation with PBE was carried out for CdInCuIr after structural relaxation.

The value obtained for the final energy is -65.6 eV/cell.

The structure belongs to space group F-43m (No. 216); the cell edges are 6.485, 6.485 and 6.485 Å and the angles 90.00°, 90.00° and 90.00°. The asymmetric unit holds Cd at (0.000, 0.000, 0.000), In at (0.000, 0.000, 0.500), Cu at (0.250, 0.250, 0.750) and Ir at (0.250, 0.250, 0.250).

=====

(9)
A plane-wave DFT calculation with PBE was carried out for Si2Hg5Au5 after structural relaxation.

The value obtained for the final energy is -27.8 eV/cell. Its formation energy (no corrections) is 1.0 eV/f.u.

The structure belongs to space group P-1 (No. 2); the cell edges are 4.551, 6.431 and 10.509 Å and the angles 98.96°, 90.75° and 110.15°. The asymmetric unit holds Si at (0.044, 0.075, 0.245), Hg at (0.226, 0.455, 0.903), Hg at (0.237, 0.470, 0.390), Hg at (0.500, 0.000, 0.500), Au at (0.000, 0.000, 0.000), Au at (0.118, 0.232, 0.633) and Au at (0.452, 0.911, 0.842).

=====

(10)
A plane-wave DFT calculation with PBE was carried out for Bi after structural relaxation.

The value obtained for the final energy is -7.5 eV/cell. As for the offset from the most stable computed form: 0.134 eV/atom.

The structure belongs to space group I4/mmm (No. 139); the cell edges are 4.190, 4.190 and 3.602 Å and the angles 90.00°, 90.00° and 90.00°. The asymmetric unit holds Bi at (0.000, 0.000, 0.000).

=====

(11)
A plane-wave DFT calculation with PBE was carried out for AgTe2PbN after structural relaxation.

The value obtained for the final energy is -17.3 eV/cell. As for the offset from the most stable computed form: 0.000 eV/atom. Its formation energy (no corrections) is 3.9 eV/f.u.

The structure belongs to space group P4/mmm (No. 123); the cell edges are 5.730, 5.730 and 4.061 Å and the angles 90.00°, 90.00° and 90.00°. The asymmetric unit holds Ag at (0.000, 0.000, 0.000), Te at (0.000, 0.500, 0.000), Pb at (0.500, 0.500, 0.500) and N at (0.000, 0.000, 0.500).

=====

(12)
A plane-wave DFT calculation with PBE was carried out for La6Zn5Ag after structural relaxation.

The value obtained for the final energy is -42.4 eV/cell.

The structure belongs to space group P2/m (No. 10); the cell edges are 5.337, 7.550 and 8.438 Å and the angles 90.00°, 108.36° and 90.00°. The asymmetric unit holds La at (0.000, 0.244, 0.000), La at (0.333, 0.245, 0.664), Zn at (0.167, 0.000, 0.334), Zn at (0.169, 0.500, 0.339), Zn at (0.500, 0.000, 0.000) and Ag at (0.500, 0.500, 0.000).